Here is HoTm2Ga6 after structural relaxation from the Alexandria database. Energies are from PBE-GGA.

Values from the calculation:
E_form in eV/atom: -0.459
Magnetic moment in μB per cell: 0.00
Crystal system: orthorhombic
Energy above the most stable polymorph in this dataset in meV/atom: 143
DOS(E_F) in states/eV per atom: 0.49

Cell and atoms, written as POSCAR:
```
HoTm2Ga6
1.0
-3.919 1.192 1.166
-2.670 -3.723 -5.166
2.884 -4.009 6.013
Ho Tm Ga
1 2 6
Cartesian
-1.335 -1.862 -2.583
-3.603 -5.228 1.015
-0.102 -1.312 0.998
-3.964 -3.949 -1.507
0.259 -2.591 3.521
-0.775 -4.033 1.520
-2.468 -0.113 -0.400
-4.121 -2.418 -3.599
-2.930 -2.507 0.494
```